Here is a relaxed HgSb crystal from Alexandria. Energies are from GGA-PBE.

Unit cell a=3.135 b=3.135 c=5.579 alpha=90.00 beta=90.00 gamma=90.00
Fractional positions:
Sb 0.500 0.500 0.500
Hg 0.000 0.000 0.000

Calculated values
ΔE to the lowest computed polymorph = 0.1946 eV/atom
M_tot = 0.00 Bohr magnetons per cell
Uncorrected formation energy = 0.223 eV per atom
Density of states at the Fermi level = 0.785 states/eV per atom
Symmetry = P4/mmm, No. 123